(1)
First-principles (PBE) data for crystalline Zr2AlCr at its relaxed geometry, as listed in Alexandria via LeMat-Bulk.

Cell and atoms, written as CIF:
```
data_Zr2AlCr
_cell_length_a 7.416
_cell_length_b 7.416
_cell_length_c 5.581
_cell_angle_alpha 90.00
_cell_angle_beta 90.00
_cell_angle_gamma 90.00
_symmetry_space_group_name_H-M 'I -4 2 d'
_symmetry_Int_Tables_number 122
_symmetry_space_group_name_Hall 'I -4 2bw'
loop_
_atom_site_label
_atom_site_fract_x
_atom_site_fract_y
_atom_site_fract_z
Zr1 0.222 0.250 0.125
Al1 0.000 0.000 0.500
Cr1 0.000 0.000 0.000
```

size of the total moment: 0.1 μB/cell
ρ: 5.66 Mg/m³
volume: 307.0 Å³ per cell
ΔH_f (0 K): 0.407 eV per atom
calculated total energy: -115.3 eV/cell
crystal system: tetragonal

(2)
First-principles (PBE) data for crystalline Zr2AlCr at its relaxed geometry, as listed in Alexandria via LeMat-Bulk.

Cell and atoms, written as CIF:
```
data_Zr2AlCr
_cell_length_a 4.362
_cell_length_b 4.362
_cell_length_c 3.934
_cell_angle_alpha 90.00
_cell_angle_beta 90.00
_cell_angle_gamma 90.00
_symmetry_space_group_name_H-M 'P 4/m m m'
_symmetry_Int_Tables_number 123
_symmetry_space_group_name_Hall '-P 4 2'
loop_
_atom_site_label
_atom_site_fract_x
_atom_site_fract_y
_atom_site_fract_z
Zr1 0.000 0.500 0.000
Al1 0.000 0.000 0.500
Cr1 0.500 0.500 0.500
```

size of the total moment: 2.0 μB/cell
ρ: 5.80 Mg/m³
volume: 74.9 Å³ per cell
ΔH_f (0 K): -0.096 eV per atom
calculated total energy: -30.8 eV/cell
crystal system: tetragonal

(3)
First-principles (PBE) data for crystalline ZrAl2Cr at its relaxed geometry, as listed in Alexandria via LeMat-Bulk.

Cell and atoms, written as CIF:
```
data_ZrAl2Cr
_cell_length_a 4.008
_cell_length_b 4.008
_cell_length_c 4.179
_cell_angle_alpha 90.00
_cell_angle_beta 90.00
_cell_angle_gamma 90.00
_symmetry_space_group_name_H-M 'P 4/m m m'
_symmetry_Int_Tables_number 123
_symmetry_space_group_name_Hall '-P 4 2'
loop_
_atom_site_label
_atom_site_fract_x
_atom_site_fract_y
_atom_site_fract_z
Zr1 0.000 0.000 0.000
Al1 0.000 0.500 0.500
Cr1 0.500 0.500 0.000
```

size of the total moment: 2.3 μB/cell
ρ: 4.88 Mg/m³
volume: 67.1 Å³ per cell
ΔH_f (0 K): -0.209 eV per atom
calculated total energy: -26.5 eV/cell
crystal system: tetragonal

(4)
First-principles (PBE) data for crystalline Zr2AlCr at its relaxed geometry, as listed in Alexandria via LeMat-Bulk.

Cell and atoms, written as CIF:
```
data_Zr2AlCr
_cell_length_a 3.345
_cell_length_b 3.345
_cell_length_c 6.537
_cell_angle_alpha 90.00
_cell_angle_beta 90.00
_cell_angle_gamma 90.00
_symmetry_space_group_name_H-M 'P 4/m m m'
_symmetry_Int_Tables_number 123
_symmetry_space_group_name_Hall '-P 4 2'
loop_
_atom_site_label
_atom_site_fract_x
_atom_site_fract_y
_atom_site_fract_z
Zr1 0.000 0.000 0.233
Al1 0.500 0.500 0.500
Cr1 0.500 0.500 0.000
```

size of the total moment: 0.5 μB/cell
ρ: 5.94 Mg/m³
volume: 73.1 Å³ per cell
ΔH_f (0 K): -0.147 eV per atom
calculated total energy: -31.0 eV/cell
crystal system: tetragonal

(5)
First-principles (PBE) data for crystalline Zr2AlCr at its relaxed geometry, as listed in Alexandria via LeMat-Bulk.

Cell and atoms, written as CIF:
```
data_Zr2AlCr
_cell_length_a 3.242
_cell_length_b 4.481
_cell_length_c 5.331
_cell_angle_alpha 90.00
_cell_angle_beta 99.79
_cell_angle_gamma 90.00
_symmetry_space_group_name_H-M 'P 1 m 1'
_symmetry_Int_Tables_number 6
loop_
_symmetry_equiv_pos_as_xyz
'x,y,z'
'x,-y,z'
loop_
_atom_site_label
_atom_site_fract_x
_atom_site_fract_y
_atom_site_fract_z
Zr1 0.000 0.000 0.000
Zr2 0.200 0.500 0.620
Al1 0.563 0.500 0.166
Cr1 0.627 0.000 0.467
```

size of the total moment: 1.8 μB/cell
ρ: 5.69 Mg/m³
volume: 76.3 Å³ per cell
ΔH_f (0 K): -0.091 eV per atom
calculated total energy: -30.8 eV/cell
crystal system: monoclinic

(6)
First-principles (PBE) data for crystalline ZrAl2Cr at its relaxed geometry, as listed in Alexandria via LeMat-Bulk.

Cell and atoms, written as CIF:
```
data_ZrAl2Cr
_cell_length_a 4.093
_cell_length_b 4.093
_cell_length_c 8.015
_cell_angle_alpha 90.00
_cell_angle_beta 90.00
_cell_angle_gamma 90.00
_symmetry_space_group_name_H-M 'I 4/m m m'
_symmetry_Int_Tables_number 139
_symmetry_space_group_name_Hall '-I 4 2'
loop_
_atom_site_label
_atom_site_fract_x
_atom_site_fract_y
_atom_site_fract_z
Zr1 0.000 0.000 0.000
Al1 0.000 0.500 0.250
Cr1 0.000 0.000 0.500
```

size of the total moment: 2.9 μB/cell
ρ: 4.88 Mg/m³
volume: 134.3 Å³ per cell
ΔH_f (0 K): -0.152 eV per atom
calculated total energy: -52.5 eV/cell
crystal system: tetragonal

(7)
First-principles (PBE) data for crystalline Zr2AlCr at its relaxed geometry, as listed in Alexandria via LeMat-Bulk.

Cell and atoms, written as CIF:
```
data_Zr2AlCr
_cell_length_a 9.949
_cell_length_b 3.035
_cell_length_c 5.206
_cell_angle_alpha 90.00
_cell_angle_beta 97.31
_cell_angle_gamma 90.00
_symmetry_space_group_name_H-M 'C 1 2/m 1'
_symmetry_Int_Tables_number 12
loop_
_symmetry_equiv_pos_as_xyz
'x,y,z'
'-x,-y,-z'
'-x,y,-z'
'x,-y,z'
'x+1/2,y+1/2,z'
'-x+1/2,-y+1/2,-z'
'-x+1/2,y+1/2,-z'
'x+1/2,-y+1/2,z'
loop_
_atom_site_label
_atom_site_fract_x
_atom_site_fract_y
_atom_site_fract_z
Zr1 0.241 0.000 0.246
Al1 0.000 0.500 0.000
Cr1 0.000 0.000 0.500
```

size of the total moment: 6.0 μB/cell
ρ: 5.57 Mg/m³
volume: 155.9 Å³ per cell
ΔH_f (0 K): 0.143 eV per atom
calculated total energy: -59.8 eV/cell
crystal system: monoclinic

(8)
First-principles (PBE) data for crystalline ZrAlCr at its relaxed geometry, as listed in Alexandria via LeMat-Bulk.

Cell and atoms, written as CIF:
```
data_ZrAlCr
_cell_length_a 8.604
_cell_length_b 5.183
_cell_length_c 8.926
_cell_angle_alpha 90.00
_cell_angle_beta 90.00
_cell_angle_gamma 90.00
_symmetry_space_group_name_H-M 'A m m 2'
_symmetry_Int_Tables_number 38
loop_
_symmetry_equiv_pos_as_xyz
'x,y,z'
'-x,-y,z'
'-x,y,z'
'x,-y,z'
'x,y+1/2,z+1/2'
'-x,-y+1/2,z+1/2'
'-x,y+1/2,z+1/2'
'x,-y+1/2,z+1/2'
loop_
_atom_site_label
_atom_site_fract_x
_atom_site_fract_y
_atom_site_fract_z
Zr1 0.178 0.000 0.000
Zr2 0.309 0.000 0.334
Al1 0.239 0.000 0.674
Al2 0.500 0.246 0.081
Cr1 0.000 0.000 0.495
Cr2 0.000 0.228 0.260
Cr3 0.500 0.000 0.835
```

size of the total moment: 3.4 μB/cell
ρ: 5.68 Mg/m³
volume: 398.0 Å³ per cell
ΔH_f (0 K): -0.251 eV per atom
calculated total energy: -181.3 eV/cell
crystal system: orthorhombic

(9)
First-principles (PBE) data for crystalline ZrAlCr at its relaxed geometry, as listed in Alexandria via LeMat-Bulk.

Cell and atoms, written as CIF:
```
data_ZrAlCr
_cell_length_a 6.448
_cell_length_b 6.448
_cell_length_c 6.448
_cell_angle_alpha 90.00
_cell_angle_beta 90.00
_cell_angle_gamma 90.00
_symmetry_space_group_name_H-M 'F -4 3 m'
_symmetry_Int_Tables_number 216
_symmetry_space_group_name_Hall 'F -4 2 3'
loop_
_atom_site_label
_atom_site_fract_x
_atom_site_fract_y
_atom_site_fract_z
Zr1 0.000 0.000 0.000
Al1 0.250 0.250 0.250
Cr1 0.250 0.250 0.750
```

size of the total moment: 14.8 μB/cell
ρ: 4.22 Mg/m³
volume: 268.1 Å³ per cell
ΔH_f (0 K): 0.786 eV per atom
calculated total energy: -78.2 eV/cell
crystal system: cubic

(10)
First-principles (PBE) data for crystalline ZrAl3Cr at its relaxed geometry, as listed in Alexandria via LeMat-Bulk.

Cell and atoms, written as CIF:
```
data_ZrAl3Cr
_cell_length_a 5.155
_cell_length_b 5.155
_cell_length_c 5.155
_cell_angle_alpha 90.00
_cell_angle_beta 90.00
_cell_angle_gamma 90.00
_symmetry_space_group_name_H-M 'P m -3 m'
_symmetry_Int_Tables_number 221
_symmetry_space_group_name_Hall '-P 4 2 3'
loop_
_atom_site_label
_atom_site_fract_x
_atom_site_fract_y
_atom_site_fract_z
Zr1 0.000 0.000 0.000
Al1 0.000 0.000 0.500
Cr1 0.500 0.500 0.500
```

size of the total moment: 3.8 μB/cell
ρ: 2.72 Mg/m³
volume: 137.0 Å³ per cell
ΔH_f (0 K): 1.194 eV per atom
energy above the most stable polymorph in this dataset: 0.934 eV/atom
calculated total energy: -23.4 eV/cell
crystal system: cubic